Entry 1:
The following is a PBE-GGA calculation of Ti8ZnC2 after structural relaxation, from Alexandria via LeMat-Bulk.

Geometry as POSCAR:
```
Ti8ZnC2
1.0
3.462 -5.317 0.000
3.462 5.317 0.000
-0.811 0.000 4.242
Ti Zn C
8 1 2
direct
0.088 0.088 0.798
0.165 0.427 0.438
0.244 0.756 0.000
0.427 0.165 0.438
0.573 0.835 0.562
0.756 0.244 0.000
0.835 0.573 0.562
0.912 0.912 0.202
0.500 0.500 0.000
0.197 0.803 0.500
0.803 0.197 0.500
```

Output
* energy: -7.76 eV/atom
* energy of formation: -0.228 eV/atom
* symmetry: C2/m, No. 12
* total magnetic moment: 0.001 μB/f.u.

=====

Entry 2:
The following is a PBE-GGA calculation of TiZn3C after structural relaxation, from Alexandria via LeMat-Bulk.

Geometry as POSCAR:
```
TiZn3C
1.0
5.106 0.000 0.000
0.000 5.106 0.000
0.000 0.000 5.106
Ti Zn C
1 3 1
direct
0.000 0.000 0.000
0.000 0.000 0.500
0.000 0.500 0.000
0.500 0.000 0.000
0.500 0.500 0.500
```

Output
* energy: -2.05 eV/atom
* energy of formation: 2.136 eV/atom
* symmetry: Pm-3m, No. 221
* total magnetic moment: 0.078 μB/f.u.

=====

Entry 3:
The following is a PBE-GGA calculation of Ti3ZnC after structural relaxation, from Alexandria via LeMat-Bulk.

Geometry as POSCAR:
```
Ti3ZnC
1.0
2.862 -5.220 0.000
2.862 5.220 0.000
0.000 0.000 5.103
Ti Zn C
6 2 2
direct
0.000 0.000 0.000
0.000 0.000 0.500
0.038 0.461 0.250
0.461 0.038 0.750
0.539 0.962 0.250
0.962 0.539 0.750
0.452 0.548 0.750
0.548 0.452 0.250
0.159 0.841 0.250
0.841 0.159 0.750
```

Output
* energy: -6.62 eV/atom
* energy of formation: 0.217 eV/atom
* symmetry: Cmcm, No. 63
* total magnetic moment: 0.000 μB/f.u.

=====

Entry 4:
The following is a PBE-GGA calculation of Ti3ZnC after structural relaxation, from Alexandria via LeMat-Bulk.

Geometry as POSCAR:
```
Ti3ZnC
1.0
3.321 0.000 0.000
0.000 3.321 0.000
0.000 0.000 7.504
Ti Zn C
3 1 1
direct
0.000 0.000 0.000
0.000 0.500 0.693
0.500 0.000 0.693
0.000 0.000 0.369
0.500 0.500 0.902
```

Output
* energy: -6.49 eV/atom
* energy of formation: 0.344 eV/atom
* symmetry: P4mm, No. 99
* total magnetic moment: 0.000 μB/f.u.

=====

Entry 5:
The following is a PBE-GGA calculation of Ti2ZnC after structural relaxation, from Alexandria via LeMat-Bulk.

Geometry as POSCAR:
```
Ti2ZnC
1.0
-3.114 3.114 2.974
3.114 -3.114 2.974
3.114 3.114 -2.974
Ti Zn C
4 2 2
direct
0.053 0.625 0.928
0.375 0.303 0.428
0.697 0.125 0.072
0.875 0.947 0.572
0.250 0.750 0.500
0.500 0.500 0.000
0.000 0.000 0.000
0.750 0.250 0.500
```

Output
* energy: -6.54 eV/atom
* energy of formation: 0.035 eV/atom
* symmetry: I-42d, No. 122
* total magnetic moment: 0.000 μB/f.u.

=====

Entry 6:
The following is a PBE-GGA calculation of Ti3Zn3C after structural relaxation, from Alexandria via LeMat-Bulk.

Geometry as POSCAR:
```
Ti3Zn3C
1.0
0.000 5.791 5.791
5.791 0.000 5.791
5.791 5.791 0.000
Ti Zn C
12 12 4
direct
0.058 0.058 0.692
0.058 0.692 0.058
0.058 0.692 0.692
0.308 0.308 0.942
0.308 0.942 0.308
0.308 0.942 0.942
0.692 0.058 0.058
0.692 0.058 0.692
0.692 0.692 0.058
0.942 0.308 0.308
0.942 0.308 0.942
0.942 0.942 0.308
0.000 0.500 0.500
0.290 0.290 0.290
0.290 0.290 0.630
0.290 0.630 0.290
0.370 0.710 0.710
0.500 0.000 0.500
0.500 0.500 0.000
0.500 0.500 0.500
0.630 0.290 0.290
0.710 0.370 0.710
0.710 0.710 0.370
0.710 0.710 0.710
0.000 0.000 0.000
0.000 0.000 0.500
0.000 0.500 0.000
0.500 0.000 0.000
```

Output
* energy: -5.68 eV/atom
* energy of formation: -0.436 eV/atom
* symmetry: Fd-3m, No. 227
* total magnetic moment: 0.006 μB/f.u.

=====

Entry 7:
The following is a PBE-GGA calculation of Ti2ZnC after structural relaxation, from Alexandria via LeMat-Bulk.

Geometry as POSCAR:
```
Ti2ZnC
1.0
1.529 0.883 6.918
-1.529 0.883 6.918
0.000 -1.765 6.918
Ti Zn C
2 1 1
direct
0.000 0.000 0.000
0.223 0.223 0.223
0.778 0.778 0.778
0.611 0.611 0.611
```

Output
* energy: -7.09 eV/atom
* energy of formation: -0.522 eV/atom
* symmetry: R3m, No. 160
* total magnetic moment: 0.000 μB/f.u.

=====

Entry 8:
The following is a PBE-GGA calculation of TiZnC after structural relaxation, from Alexandria via LeMat-Bulk.

Geometry as POSCAR:
```
TiZnC
1.0
1.813 1.047 7.558
-1.813 1.047 7.558
0.000 -2.093 7.558
Ti Zn C
2 2 2
direct
0.122 0.122 0.122
0.878 0.878 0.878
0.303 0.303 0.303
0.697 0.697 0.697
0.212 0.212 0.212
0.788 0.788 0.788
```

Output
* energy: -6.24 eV/atom
* energy of formation: -0.106 eV/atom
* symmetry: R-3m, No. 166
* total magnetic moment: 0.000 μB/f.u.